Density functional theory data (PBE) for a relaxed Dy4ScRu5 crystal.

Output
space-group type	No. 123
E_form	-3.517	eV per formula unit
VASP energy	-0.2743	Ha/atom

abc: 3.363 3.363 16.799
angles: 90.00 90.00 90.00
Atoms (fractional coordinates):
Dy (0.000, 0.000, 0.102)
Dy (0.000, 0.000, 0.305)
Dy (0.000, 0.000, 0.695)
Dy (0.000, 0.000, 0.898)
Sc (0.000, 0.000, 0.500)
Ru (0.500, 0.500, 0.000)
Ru (0.500, 0.500, 0.204)
Ru (0.500, 0.500, 0.408)
Ru (0.500, 0.500, 0.592)
Ru (0.500, 0.500, 0.796)